[1]
Computed, not measured: a geometry-optimized AcTmZnIr structure at the PBE level of DFT.

Cell lengths 5.1327, 5.1327, 5.1327 Å; angles 60.00, 60.00, 60.00 degrees
Last column: nearest neighbours and their distance in Å.
Sites, in units of the cell vectors:
Ac (0.2500, 0.2500, 0.2500)  4 Ir 3.14, 4 Zn 3.14
Ir (0.5000, 0.5000, 0.5000)  4 Tm 3.14, 4 Ac 3.14
Tm (0.7500, 0.7500, 0.7500)  4 Ir 3.14, 4 Zn 3.14
Zn (0.0000, 0.0000, 0.0000)  4 Ac 3.14, 4 Tm 3.14

Summary:
Raw total energy   -20.5 eV for the cell shown
SG   F-43m
ΔH_f (0 K)   -168 kJ/mol of formula units

=====

[2]
Computed, not measured: a geometry-optimized Rb2FeRhBr6 structure at the PBE level of DFT.

Cell lengths 7.4129, 7.4129, 7.4188 Å; angles 60.03, 60.03, 90.00 degrees
Last column: nearest neighbours and their distance in Å.
Sites, in units of the cell vectors:
Rh (0.0000, 0.0000, 0.0000)  6 Br 2.63
Br (0.2509, 0.2509, 0.4983)  1 Fe 2.62, 1 Rh 2.63
Br (0.7491, 0.7491, 0.5017)  1 Fe 2.62, 1 Rh 2.63
Br (0.2505, 0.2505, 0.0000)  1 Fe 2.62, 1 Rh 2.63
Br (0.7495, 0.7495, 0.0000)  1 Fe 2.62, 1 Rh 2.63
Br (0.7495, 0.2505, 0.0000)  1 Fe 2.62, 1 Rh 2.63
Br (0.2505, 0.7495, 0.0000)  1 Fe 2.62, 1 Rh 2.63
Rb (0.7500, 0.2500, 0.5000)  12 Br 3.71
Rb (0.2500, 0.7500, 0.5000)  12 Br 3.71
Fe (0.5000, 0.5000, 0.0000)  6 Br 2.62

Summary:
Raw total energy   -36.2 eV for the cell shown
SG   I4/mmm
Energy relative to the elements, uncorrected   -0.837 eV/atom

=====

[3]
Computed, not measured: a geometry-optimized TbNd4Sb5 structure at the PBE level of DFT.

Cell lengths 4.5041, 6.3622, 11.8995 Å; angles 105.51, 100.91, 90.00 degrees
Last column: nearest neighbours and their distance in Å.
Sites, in units of the cell vectors:
Tb (0.0000, 0.0000, 0.0000)  6 Sb 3.14-3.18
Nd (0.4003, 0.4003, 0.8005)  6 Sb 3.18-3.19
Nd (0.8013, 0.8013, 0.6027)  6 Sb 3.18-3.21
Nd (0.1987, 0.1987, 0.3973)  6 Sb 3.18-3.21
Nd (0.5997, 0.5997, 0.1995)  6 Sb 3.18-3.19
Sb (0.5971, 0.0971, 0.1942)  2 Tb 3.14, 4 Nd 3.18-3.21
Sb (0.7996, 0.2996, 0.5992)  6 Nd 3.18-3.20
Sb (0.2004, 0.7004, 0.4008)  6 Nd 3.18-3.20
Sb (0.0000, 0.5000, 0.0000)  4 Nd 3.18, 2 Tb 3.18
Sb (0.4029, 0.9029, 0.8058)  2 Tb 3.14, 4 Nd 3.18-3.21

Summary:
Raw total energy   -56.1 eV for the cell shown
SG   Immm
Energy relative to the elements, uncorrected   -1.178 eV/atom

=====

[4]
Computed, not measured: a geometry-optimized Ca2Re2P structure at the PBE level of DFT.

Cell lengths 9.3505, 9.3505, 9.3505 Å; angles 158.26, 158.26, 30.94 degrees
Last column: nearest neighbours and their distance in Å.
Sites, in units of the cell vectors:
Ca (0.5956, 0.5956, 0.0000)  4 P 3.03, 4 Re 3.29
Ca (0.4044, 0.4044, 0.0000)  4 P 3.03, 4 Re 3.29
Re (0.2500, 0.7500, 0.5000)  4 Re 2.49
Re (0.7500, 0.2500, 0.5000)  4 Re 2.49
P (0.0000, 0.0000, 0.0000)  8 Ca 3.03

Summary:
Raw total energy   -34.1 eV for the cell shown
SG   I4/mmm
ΔH_f (0 K)   20 kJ/mol of formula units